{"formula": "SmPaMo", "functional": "PBE", "state": "optimized geometry", "lattice": [[-0.229, 0.493, 3.453], [-1.287, -3.228, 0.375], [12.461, -3.135, -0.496]], "species": ["Mo", "Mo", "Pa", "Pa", "Sm", "Sm"], "frac_coords": [[0.285, 0.285, 0.569], [0.715, 0.715, 0.431], [0.161, 0.161, 0.321], [0.839, 0.839, 0.679], [0.573, 0.573, 0.147], [0.427, 0.427, 0.853]], "spacegroup": "I4/mmm", "crystal_system": "tetragonal", "e_tot_ry_per_atom": -0.592, "mass_density_g_cm3": 10.28, "vol_a3_per_atom": 25.694, "de_polymorph_ev_per_atom": 0.1612}

{"formula": "CrHg2SbW", "functional": "PBE", "state": "optimized geometry", "lattice": [[-4.712, -0.978, 1.747], [-0.952, -2.735, -4.099], [1.751, -4.180, 2.382]], "species": ["Sb", "Hg", "Hg", "W", "Cr"], "frac_coords": [[0.000, 0.500, 0.000], [0.000, 0.000, 0.500], [0.500, 0.000, 0.000], [0.500, 0.500, 0.500], [0.000, 0.000, 0.000]], "spacegroup": "P4/mmm", "crystal_system": "tetragonal", "formation_energy_uncorrected_kj_per_mol_fu": 781, "e_tot_ry_per_atom": -0.282, "mass_density_g_cm3": 9.58, "vol_a3_per_atom": 26.317}

{"formula": "Rb2AgBiN", "functional": "PBE", "state": "optimized geometry", "lattice": [[-5.010, 1.054, 4.585], [-2.106, -4.621, -1.240], [3.803, -3.035, 4.853]], "species": ["Rb", "Rb", "Bi", "Ag", "N"], "frac_coords": [[0.000, 0.000, 0.500], [0.500, 0.000, 0.000], [0.000, 0.500, 0.000], [0.000, 0.000, 0.000], [0.500, 0.500, 0.500]], "spacegroup": "P4/mmm", "crystal_system": "tetragonal", "formation_energy_uncorrected_kj_per_mol_fu": 408, "e_tot_ry_per_atom": -0.188, "mass_density_g_cm3": 3.38, "vol_a3_per_atom": 49.375}

{"formula": "ThPaCd2O8", "functional": "PBE", "state": "optimized geometry", "lattice": [[-5.313, 2.296, -2.320], [-2.153, -4.336, 3.930], [3.602, 4.293, 2.734]], "species": ["Th", "Pa", "Cd", "Cd", "O", "O", "O", "O", "O", "O", "O", "O"], "frac_coords": [[0.250, 0.750, 0.500], [0.000, 0.000, 0.000], [0.750, 0.250, 0.500], [0.500, 0.500, 0.000], [0.338, 0.029, 0.309], [0.273, 0.447, 0.174], [0.273, 0.098, 0.826], [0.720, 0.029, 0.691], [0.902, 0.727, 0.174], [0.971, 0.280, 0.309], [0.971, 0.662, 0.691], [0.553, 0.727, 0.826]], "spacegroup": "I-4m2", "crystal_system": "tetragonal", "formation_energy_uncorrected_kj_per_mol_fu": -2379, "e_tot_ry_per_atom": -0.509, "mass_density_g_cm3": 7.37, "vol_a3_per_atom": 15.323}